Entry 1:
! Er8Zn2Hg | Alexandria | PBE | optimized geometry; values from VASP
! - Symmetry: C2/m (12)
! - Theoretical density: 9.4 Mg/m³
! - ΔH_f (0 K): -172 meV per atom
! - Spin magnetization: 0.00 μB per formula unit
&SYSTEM
  ibrav = 0, nat = 11, ntyp = 3
/
ATOMIC_SPECIES
Er 167.26 Er.upf
Zn 65.41 Zn.upf
Hg 200.59 Hg.upf
CELL_PARAMETERS angstrom
8.813 -2.517 0.000
8.813 2.517 0.000
-2.134 0.000 6.683
ATOMIC_POSITIONS crystal
Er 0.029 0.029 0.266
Er 0.198 0.198 0.815
Er 0.329 0.329 0.527
Er 0.407 0.407 0.034
Er 0.593 0.593 0.966
Er 0.671 0.671 0.473
Er 0.802 0.802 0.185
Er 0.971 0.971 0.734
Zn 0.185 0.185 0.208
Zn 0.815 0.815 0.792
Hg 0.500 0.500 0.500

***

Entry 2:
! TeMo2Cl | Alexandria | PBE | optimized geometry; values from VASP
! - Symmetry: C2/m (12)
! - Theoretical density: 7.8 Mg/m³
! - Energy above the most stable polymorph in this dataset: 890 meV per atom
! - E_form (uncorrected): 798 meV per atom
! - Spin magnetization: 0.00 μB per formula unit
&SYSTEM
  ibrav = 0, nat = 4, ntyp = 3
/
ATOMIC_SPECIES
Te 127.60 Te.upf
Mo 95.94 Mo.upf
Cl 35.45 Cl.upf
CELL_PARAMETERS angstrom
3.058 -4.525 0.000
3.058 4.525 0.000
-0.808 0.000 2.744
ATOMIC_POSITIONS crystal
Te 0.000 0.000 0.000
Mo 0.000 0.500 0.000
Mo 0.500 0.000 0.000
Cl 0.500 0.500 0.000

***

Entry 3:
! Te5Pd3Cl | Alexandria | PBE | optimized geometry; values from VASP
! - Symmetry: C2/m (12)
! - Theoretical density: 6.5 Mg/m³
! - E_form (uncorrected): -201 meV per atom
! - Spin magnetization: 0.00 μB per formula unit
&SYSTEM
  ibrav = 0, nat = 18, ntyp = 3
/
ATOMIC_SPECIES
Te 127.60 Te.upf
Pd 106.42 Pd.upf
Cl 35.45 Cl.upf
CELL_PARAMETERS angstrom
4.932 -4.483 0.000
4.932 4.483 0.000
-4.127 0.000 11.426
ATOMIC_POSITIONS crystal
Te 0.139 0.760 0.649
Te 0.190 0.810 0.000
Te 0.240 0.861 0.351
Te 0.288 0.288 0.110
Te 0.318 0.318 0.444
Te 0.682 0.682 0.556
Te 0.712 0.712 0.890
Te 0.760 0.139 0.649
Te 0.810 0.190 0.000
Te 0.861 0.240 0.351
Pd 0.000 0.000 0.500
Pd 0.023 0.023 0.174
Pd 0.497 0.497 0.327
Pd 0.500 0.500 0.000
Pd 0.503 0.503 0.673
Pd 0.977 0.977 0.826
Cl 0.336 0.336 0.798
Cl 0.664 0.664 0.202

***

Entry 4:
! Y2PaIn | Alexandria | PBE | optimized geometry; values from VASP
! - Symmetry: P4/mmm (123)
! - Theoretical density: 7.9 Mg/m³
! - Energy above the most stable polymorph in this dataset: 0 meV per atom
! - ΔH_f (0 K): -117 meV per atom
! - Spin magnetization: 0.51 μB per formula unit
&SYSTEM
  ibrav = 0, nat = 4, ntyp = 3
/
ATOMIC_SPECIES
Y 88.91 Y.upf
Pa 231.04 Pa.upf
In 114.82 In.upf
CELL_PARAMETERS angstrom
3.457 0.000 0.000
0.000 3.457 0.000
0.000 0.000 9.240
ATOMIC_POSITIONS crystal
Y 0.000 0.000 0.239
Y 0.000 0.000 0.761
Pa 0.500 0.500 0.500
In 0.500 0.500 0.000

***

Entry 5:
! CuO | Alexandria | PBE | optimized geometry; values from VASP
! - Symmetry: C2/c (15)
! - Theoretical density: 5.9 Mg/m³
! - E_form (uncorrected): -593 meV per atom
! - Spin magnetization: 0.00 μB per formula unit
&SYSTEM
  ibrav = 0, nat = 4, ntyp = 2
/
ATOMIC_SPECIES
Cu 63.55 Cu.upf
O 16.00 O.upf
CELL_PARAMETERS angstrom
2.057 -2.099 0.000
2.057 2.099 0.000
-0.025 0.000 5.154
ATOMIC_POSITIONS crystal
Cu 0.000 0.500 0.000
Cu 0.500 0.000 0.500
O 0.002 0.998 0.750
O 0.998 0.002 0.250

***

Entry 6:
! Y2InAs | Alexandria | PBE | optimized geometry; values from VASP
! - Symmetry: C2/m (12)
! - Theoretical density: 5.6 Mg/m³
! - Energy above the most stable polymorph in this dataset: 40 meV per atom
! - ΔH_f (0 K): -946 meV per atom
! - Spin magnetization: 0.00 μB per formula unit
&SYSTEM
  ibrav = 0, nat = 4, ntyp = 3
/
ATOMIC_SPECIES
Y 88.91 Y.upf
In 114.82 In.upf
As 74.92 As.upf
CELL_PARAMETERS angstrom
3.461 -1.996 0.000
3.461 1.996 0.000
-2.296 0.000 7.952
ATOMIC_POSITIONS crystal
Y 0.237 0.237 0.211
Y 0.763 0.763 0.789
In 0.000 0.000 0.500
As 0.500 0.500 0.000

***

Entry 7:
! Ca2In2AgPd5 | Alexandria | PBE | optimized geometry; values from VASP
! - Symmetry: P4/mbm (127)
! - Theoretical density: 7.9 Mg/m³
! - ΔH_f (0 K): -458 meV per atom
! - Spin magnetization: 0.00 μB per formula unit
&SYSTEM
  ibrav = 0, nat = 20, ntyp = 4
/
ATOMIC_SPECIES
Ca 40.08 Ca.upf
In 114.82 In.upf
Ag 107.87 Ag.upf
Pd 106.42 Pd.upf
CELL_PARAMETERS angstrom
10.232 0.000 0.000
0.000 10.232 0.000
0.000 0.000 3.837
ATOMIC_POSITIONS crystal
Ca 0.172 0.328 0.000
Ca 0.328 0.828 0.000
Ca 0.672 0.172 0.000
Ca 0.828 0.672 0.000
In 0.128 0.628 0.000
In 0.372 0.128 0.000
In 0.628 0.872 0.000
In 0.872 0.372 0.000
Ag 0.000 0.000 0.000
Ag 0.500 0.500 0.000
Pd 0.000 0.500 0.500
Pd 0.063 0.805 0.500
Pd 0.195 0.063 0.500
Pd 0.305 0.563 0.500
Pd 0.437 0.305 0.500
Pd 0.500 0.000 0.500
Pd 0.563 0.695 0.500
Pd 0.695 0.437 0.500
Pd 0.805 0.937 0.500
Pd 0.937 0.195 0.500

***

Entry 8:
! BaP2Cl | Alexandria | PBE | optimized geometry; values from VASP
! - Symmetry: Imm2 (44)
! - Theoretical density: 3.8 Mg/m³
! - Energy above the most stable polymorph in this dataset: 94 meV per atom
! - E_form (uncorrected): -891 meV per atom
! - Spin magnetization: 0.00 μB per formula unit
&SYSTEM
  ibrav = 0, nat = 4, ntyp = 3
/
ATOMIC_SPECIES
Ba 137.33 Ba.upf
P 30.97 P.upf
Cl 35.45 Cl.upf
CELL_PARAMETERS angstrom
-1.815 3.018 4.633
1.815 -3.018 4.633
1.815 3.018 -4.633
ATOMIC_POSITIONS crystal
Ba 0.000 0.000 0.000
P 0.547 0.547 0.000
P 0.690 0.190 0.500
Cl 0.265 0.765 0.500

***

Entry 9:
! Sr2LaTl | Alexandria | PBE | optimized geometry; values from VASP
! - Symmetry: R3m (160)
! - Theoretical density: 5.2 Mg/m³
! - Energy above the most stable polymorph in this dataset: 112 meV per atom
! - ΔH_f (0 K): -49 meV per atom
! - Spin magnetization: 0.28 μB per formula unit
&SYSTEM
  ibrav = 0, nat = 4, ntyp = 3
/
ATOMIC_SPECIES
Sr 87.62 Sr.upf
La 138.91 La.upf
Tl 204.38 Tl.upf
CELL_PARAMETERS angstrom
2.000 1.155 11.854
-2.000 1.155 11.854
0.000 -2.309 11.854
ATOMIC_POSITIONS crystal
Sr 0.000 0.000 0.000
Sr 0.187 0.187 0.187
La 0.428 0.428 0.428
Tl 0.593 0.593 0.593

***

Entry 10:
! LaZrAu3 | Alexandria | PBE | optimized geometry; values from VASP
! - Symmetry: Pm-3m (221)
! - Theoretical density: 9.7 Mg/m³
! - Energy above the most stable polymorph in this dataset: 0 meV per atom
! - ΔH_f (0 K): -80 meV per atom
! - Spin magnetization: 0.00 μB per formula unit
&SYSTEM
  ibrav = 0, nat = 5, ntyp = 3
/
ATOMIC_SPECIES
La 138.91 La.upf
Zr 91.22 Zr.upf
Au 196.97 Au.upf
CELL_PARAMETERS angstrom
5.208 0.000 0.000
0.000 5.208 0.000
0.000 0.000 5.208
ATOMIC_POSITIONS crystal
La 0.000 0.000 0.000
Zr 0.500 0.500 0.500
Au 0.000 0.500 0.500
Au 0.500 0.000 0.500
Au 0.500 0.500 0.000

***

Entry 11:
! Rb4Au2O | Alexandria | PBE | optimized geometry; values from VASP
! - Symmetry: C2/m (12)
! - Theoretical density: 5.0 Mg/m³
! - Energy above the most stable polymorph in this dataset: 9 meV per atom
! - E_form (uncorrected): -568 meV per atom
! - Spin magnetization: 0.09 μB per formula unit
&SYSTEM
  ibrav = 0, nat = 7, ntyp = 3
/
ATOMIC_SPECIES
Rb 85.47 Rb.upf
Au 196.97 Au.upf
O 16.00 O.upf
CELL_PARAMETERS angstrom
6.905 -2.203 0.000
6.905 2.203 0.000
-4.138 0.000 8.290
ATOMIC_POSITIONS crystal
Rb 0.059 0.059 0.327
Rb 0.358 0.358 0.950
Rb 0.642 0.642 0.050
Rb 0.941 0.941 0.673
Au 0.351 0.351 0.336
Au 0.649 0.649 0.664
O 0.000 0.000 0.000

***

Entry 12:
! TbHo6Th3 | Alexandria | PBE | optimized geometry; values from VASP
! - Symmetry: R-3 (148)
! - Theoretical density: 9.2 Mg/m³
! - Energy above the most stable polymorph in this dataset: 284 meV per atom
! - ΔH_f (0 K): 358 meV per atom
! - Spin magnetization: 0.00 μB per formula unit
&SYSTEM
  ibrav = 0, nat = 10, ntyp = 3
/
ATOMIC_SPECIES
Tb 158.93 Tb.upf
Ho 164.93 Ho.upf
Th 232.04 Th.upf
CELL_PARAMETERS angstrom
4.912 2.836 3.974
-4.912 2.836 3.974
0.000 -5.672 3.974
ATOMIC_POSITIONS crystal
Tb 0.000 0.000 0.000
Ho 0.080 0.749 0.417
Ho 0.251 0.583 0.920
Ho 0.417 0.080 0.749
Ho 0.583 0.920 0.251
Ho 0.749 0.417 0.080
Ho 0.920 0.251 0.583
Th 0.249 0.249 0.249
Th 0.500 0.500 0.500
Th 0.751 0.751 0.751

***

Entry 13:
! Na2SrBr2 | Alexandria | PBE | optimized geometry; values from VASP
! - Symmetry: I4/mmm (139)
! - Theoretical density: 2.7 Mg/m³
! - Energy above the most stable polymorph in this dataset: 129 meV per atom
! - E_form (uncorrected): -958 meV per atom
! - Spin magnetization: 0.00 μB per formula unit
&SYSTEM
  ibrav = 0, nat = 5, ntyp = 3
/
ATOMIC_SPECIES
Na 22.99 Na.upf
Sr 87.62 Sr.upf
Br 79.90 Br.upf
CELL_PARAMETERS angstrom
-2.070 2.070 10.478
2.070 -2.070 10.478
2.070 2.070 -10.478
ATOMIC_POSITIONS crystal
Na 0.250 0.750 0.500
Na 0.750 0.250 0.500
Sr 0.000 0.000 0.000
Br 0.419 0.419 0.000
Br 0.581 0.581 0.000

***

Entry 14:
! LaTb2NdAs4 | Alexandria | PBE | optimized geometry; values from VASP
! - Symmetry: P2/m (10)
! - Theoretical density: 7.0 Mg/m³
! - ΔH_f (0 K): -1535 meV per atom
! - Spin magnetization: 0.00 μB per formula unit
&SYSTEM
  ibrav = 0, nat = 8, ntyp = 4
/
ATOMIC_SPECIES
La 138.91 La.upf
Tb 158.93 Tb.upf
Nd 144.24 Nd.upf
As 74.92 As.upf
CELL_PARAMETERS angstrom
7.326 0.000 0.000
0.000 4.235 0.000
-2.442 0.000 6.912
ATOMIC_POSITIONS crystal
La 0.000 0.000 0.000
Tb 0.500 0.000 0.500
Tb 0.500 0.500 0.000
Nd 0.000 0.500 0.500
As 0.259 0.000 0.751
As 0.261 0.500 0.255
As 0.739 0.500 0.745
As 0.741 0.000 0.249

***

Entry 15:
! KTa2Si | Alexandria | PBE | optimized geometry; values from VASP
! - Symmetry: R-3m (166)
! - Theoretical density: 8.8 Mg/m³
! - E_form (uncorrected): 609 meV per atom
! - Spin magnetization: 0.00 μB per formula unit
&SYSTEM
  ibrav = 0, nat = 4, ntyp = 3
/
ATOMIC_SPECIES
K 39.10 K.upf
Ta 180.95 Ta.upf
Si 28.09 Si.upf
CELL_PARAMETERS angstrom
1.468 0.848 10.891
-1.468 0.848 10.891
0.000 -1.695 10.891
ATOMIC_POSITIONS crystal
K 0.000 0.000 0.000
Ta 0.233 0.233 0.233
Ta 0.767 0.767 0.767
Si 0.500 0.500 0.500

***

Entry 16:
! LaTl2Bi2 | Alexandria | PBE | optimized geometry; values from VASP
! - Symmetry: I4/mmm (139)
! - Theoretical density: 9.3 Mg/m³
! - Energy above the most stable polymorph in this dataset: 102 meV per atom
! - ΔH_f (0 K): -329 meV per atom
! - Spin magnetization: 0.00 μB per formula unit
&SYSTEM
  ibrav = 0, nat = 5, ntyp = 3
/
ATOMIC_SPECIES
La 138.91 La.upf
Tl 204.38 Tl.upf
Bi 208.98 Bi.upf
CELL_PARAMETERS angstrom
-2.257 2.257 8.496
2.257 -2.257 8.496
2.257 2.257 -8.496
ATOMIC_POSITIONS crystal
La 0.000 0.000 0.000
Tl 0.250 0.750 0.500
Tl 0.750 0.250 0.500
Bi 0.410 0.410 0.000
Bi 0.590 0.590 0.000

***

no.,total DFT energy (no corrections) (eV per cell)
1,-41.242
2,-23.460
3,-69.879
4,-25.632
5,-20.480
6,-24.102
7,-85.742
8,-18.152
9,-10.855
10,-23.707
11,-19.362
12,-50.780
13,-12.453
14,-49.834
15,-27.791
16,-19.069